A relaxed La2YTl crystal. Source: Alexandria via LeMat-Bulk, functional PBE-GGA.

## Properties
Energy above the most stable polymorph in this dataset, eV per atom: 0.049

Lattice parameters (Å, degrees): 4.7172 3.6791 8.0805 63.25 90.00 90.00
Fractional positions:
1 Y 0.5000 0.7736 0.7264
2 Tl 0.0000 0.4884 0.5112
3 La 0.0000 0.9921 0.0087
4 La 0.5000 0.2459 0.2537